# ZrW2Se PBE optimized geometry
data_ZrW2Se
_symmetry_space_group_name_H-M 'C m m 2'
_symmetry_Int_Tables_number 35
_symmetry_space_group_name_Hall 'C 2 -2'
_cell_length_a 3.3578
_cell_length_b 4.9956
_cell_length_c 8.6179
_cell_angle_alpha 90.00
_cell_angle_beta 90.00
_cell_angle_gamma 90.00
loop_
_atom_site_label
_atom_site_type_symbol
_atom_site_fract_x
_atom_site_fract_y
_atom_site_fract_z
_atom_site_occupancy
Zr1 Zr 0.0000 0.0000 0.0000 1
W1 W 0.0000 0.0000 0.5004 1
W2 W 0.0000 0.5000 0.7311 1
Se1 Se 0.0000 0.5000 0.2499 1
# M_tot ... 0.00 μB per formula unit
# Final energy ... -9.327 eV/atom

---

# ZrWSe2 PBE optimized geometry
data_ZrWSe2
_symmetry_space_group_name_H-M 'I m m m'
_symmetry_Int_Tables_number 71
_symmetry_space_group_name_Hall '-I 2 2'
_cell_length_a 3.5541
_cell_length_b 4.3833
_cell_length_c 13.0907
_cell_angle_alpha 90.00
_cell_angle_beta 90.00
_cell_angle_gamma 90.00
loop_
_atom_site_label
_atom_site_type_symbol
_atom_site_fract_x
_atom_site_fract_y
_atom_site_fract_z
_atom_site_occupancy
Zr1 Zr 0.0000 0.0000 0.0000 1
W1 W 0.0000 0.0000 0.5000 1
Se1 Se 0.0000 0.5000 0.1431 1
# M_tot ... 0.00 μB per formula unit
# Final energy ... -7.498 eV/atom
# Distance to the lowest polymorph of the same formula ... 41 meV per atom

---

# ZrWSe2 PBE optimized geometry
data_ZrWSe2
_symmetry_space_group_name_H-M 'P m m m'
_symmetry_Int_Tables_number 47
_symmetry_space_group_name_Hall '-P 2 2'
_cell_length_a 3.2942
_cell_length_b 3.3716
_cell_length_c 6.8934
_cell_angle_alpha 90.00
_cell_angle_beta 90.00
_cell_angle_gamma 90.00
loop_
_atom_site_label
_atom_site_type_symbol
_atom_site_fract_x
_atom_site_fract_y
_atom_site_fract_z
_atom_site_occupancy
Zr1 Zr 0.0000 0.0000 0.0000 1
W1 W 0.5000 0.0000 0.5000 1
Se1 Se 0.5000 0.5000 0.2232 1
# M_tot ... 0.00 μB per formula unit
# Final energy ... -7.304 eV/atom
# Distance to the lowest polymorph of the same formula ... 235 meV per atom

---

Energy relative to the elements, uncorrected (eV per atom)
0.158 -0.380 -0.187